DFT (PBE-GGA) results for a geometry-optimized KGe3B structure.

a b c (Å): 4.6831 4.6831 4.6831
angles (deg): 90.00 90.00 90.00
Atoms (fractional coordinates):
K 0.5000 0.5000 0.5000
Ge 0.0000 0.0000 0.5000
Ge 0.5000 0.0000 0.0000
Ge 0.0000 0.5000 0.0000
B 0.0000 0.0000 0.0000

- total magnetic moment (Bohr magnetons per cell) = 0.00
- SG = No. 221
- ΔH_f (0 K) (meV per atom) = 650